*1*
Density functional theory data (PBE-GGA) for Pr8RuAu2 after structural relaxation. Values from VASP.

Computed properties:
As for the space group: No. 8.

Geometry as Quantum ESPRESSO input:
```
&SYSTEM
  ibrav = 0, nat = 11, ntyp = 3
/
ATOMIC_SPECIES
Pr 140.91 Pr.upf
Ru 101.07 Ru.upf
Au 196.97 Au.upf
CELL_PARAMETERS angstrom
-2.0757 2.5611 5.5560
2.6956 -7.3846 2.0349
6.1771 4.7604 -2.2629
ATOMIC_POSITIONS angstrom
Pr 1.2464 -3.1554 6.7115
Pr 3.7028 5.4136 3.6792
Pr 6.6340 0.4663 0.9603
Pr 2.8707 -0.4533 1.0446
Pr 0.3389 -0.6167 3.9342
Pr 4.0676 0.3147 4.1844
Ru 8.2593 -1.9744 1.1113
Pr 5.6709 -2.8933 2.1492
Pr 1.2467 2.5500 2.8135
Au 4.1938 2.2790 1.8575
Au 2.8529 -2.3986 3.5128
```

---

*2*
Density functional theory data (PBE-GGA) for Pr8RuAu2 after structural relaxation. Values from VASP.

Computed properties:
As for the space group: No. 12.

Geometry as Quantum ESPRESSO input:
```
&SYSTEM
  ibrav = 0, nat = 11, ntyp = 3
/
ATOMIC_SPECIES
Au 196.97 Au.upf
Pr 140.91 Pr.upf
Ru 101.07 Ru.upf
CELL_PARAMETERS angstrom
-1.7808 4.5077 -0.1271
-6.8431 -2.6697 1.2001
2.5590 -1.3370 9.2012
ATOMIC_POSITIONS angstrom
Au -4.4218 -1.6278 4.2243
Pr 1.1319 0.6293 6.4596
Pr -5.2504 -2.0418 1.1515
Pr -0.8145 2.5428 9.1228
Pr -4.5288 0.9853 5.9251
Au -1.6431 2.1288 6.0500
Pr -3.8721 1.1402 2.2179
Ru -0.8904 2.2538 -0.0635
Pr -2.1928 -0.6392 8.0564
Pr -1.5361 -0.4843 4.3491
Pr -7.1968 -0.1283 3.8146
```

---

*2* ends up most stable, edging out the next structure by 96 meV per atom.

---

*1*
Density functional theory data (PBE-GGA) for Pr2AuS after structural relaxation. Values from VASP.

Computed properties:
As for the space group: No. 160.

Geometry as Quantum ESPRESSO input:
```
&SYSTEM
  ibrav = 0, nat = 4, ntyp = 3
/
ATOMIC_SPECIES
S 32.06 S.upf
Pr 140.91 Pr.upf
Au 196.97 Au.upf
CELL_PARAMETERS angstrom
4.0719 0.0000 0.0000
2.0360 3.5264 0.0000
2.0360 1.1755 7.5056
ATOMIC_POSITIONS angstrom
S 6.1079 3.5264 7.4728
Pr 2.0360 1.1755 1.7151
Pr 2.0360 1.1755 5.8034
Au 4.0719 2.3509 3.7726
```

---

*2*
Density functional theory data (PBE-GGA) for Pr2AuS after structural relaxation. Values from VASP.

Computed properties:
As for the space group: No. 166.

Geometry as Quantum ESPRESSO input:
```
&SYSTEM
  ibrav = 0, nat = 4, ntyp = 3
/
ATOMIC_SPECIES
S 32.06 S.upf
Au 196.97 Au.upf
Pr 140.91 Pr.upf
CELL_PARAMETERS angstrom
-1.9643 -3.2925 -1.5996
-0.0329 -3.6044 2.0651
-6.7533 -0.3081 3.5329
ATOMIC_POSITIONS angstrom
S 0.0000 0.0000 0.0000
Au -4.3752 -3.6025 1.9992
Pr -6.6812 -5.3651 3.0644
Pr -2.0693 -1.8400 0.9339
```

---

*3*
Density functional theory data (PBE-GGA) for Pr2AuS after structural relaxation. Values from VASP.

Computed properties:
As for the space group: No. 63.

Geometry as Quantum ESPRESSO input:
```
&SYSTEM
  ibrav = 0, nat = 8, ntyp = 3
/
ATOMIC_SPECIES
Au 196.97 Au.upf
Pr 140.91 Pr.upf
S 32.06 S.upf
CELL_PARAMETERS angstrom
4.3153 0.0000 0.0000
0.0000 3.9964 -0.7098
0.0000 0.0888 12.1054
ATOMIC_POSITIONS angstrom
Au 1.0788 1.9048 10.7249
Pr 1.0788 0.2986 1.6814
Pr 1.0788 1.2964 7.2994
Pr 3.2365 2.7888 4.0961
S 3.2365 3.2879 6.9063
S 1.0788 0.7973 4.4893
Pr 3.2365 3.7866 9.7141
Au 3.2365 2.1804 0.6706
```

---

*3* ends up most stable, edging out the next structure by 60 meV per atom.

---

*1*
Density functional theory data (PBE-GGA) for PrSbAu3 after structural relaxation. Values from VASP.

Computed properties:
As for the space group: No. 31.

Geometry as Quantum ESPRESSO input:
```
&SYSTEM
  ibrav = 0, nat = 10, ntyp = 3
/
ATOMIC_SPECIES
Au 196.97 Au.upf
Sb 121.76 Sb.upf
Pr 140.91 Pr.upf
CELL_PARAMETERS angstrom
-1.5319 6.4730 -1.8637
-3.6440 -2.1523 -4.4803
-4.4067 -0.0096 3.5887
ATOMIC_POSITIONS angstrom
Au -2.1525 1.4894 -0.8323
Au -5.9206 -0.9743 1.3159
Sb -3.7471 3.0297 -2.7862
Sb -6.3502 -0.9000 -1.4934
Au -3.6861 -0.9692 -0.5037
Au -6.0022 1.3700 -3.2779
Pr -5.1146 1.9050 0.0314
Pr -5.8444 3.8664 -5.3594
Au -8.1744 1.3654 -1.5088
Au -4.8020 4.9101 0.4235
```

---

*2*
Density functional theory data (PBE-GGA) for PrSbAu3 after structural relaxation. Values from VASP.

Computed properties:
As for the space group: No. 14.

Geometry as Quantum ESPRESSO input:
```
&SYSTEM
  ibrav = 0, nat = 20, ntyp = 3
/
ATOMIC_SPECIES
Au 196.97 Au.upf
Sb 121.76 Sb.upf
Pr 140.91 Pr.upf
CELL_PARAMETERS angstrom
7.5725 0.0000 0.0000
0.0000 7.2800 -2.3952
0.0000 -0.5953 8.7387
ATOMIC_POSITIONS angstrom
Au 2.9350 0.4039 7.1765
Sb 5.6207 0.4611 3.7563
Au 4.3572 4.9537 1.7024
Au 1.4103 3.5159 3.2988
Pr 7.3163 4.9301 0.5515
Au 5.1966 2.8712 7.4139
Au 0.5709 2.0287 0.2717
Au 0.8513 0.7016 2.8072
Au 6.1621 3.1688 3.0446
Pr 4.0424 4.6325 4.9209
Sb 1.9517 6.2237 2.5871
Au 3.2153 1.7310 4.6410
Sb 5.7380 0.1634 8.1256
Au 7.0015 4.6561 6.0717
Pr 3.5301 2.0523 1.4225
Au 4.6375 6.2808 -0.8331
Au 2.3759 3.8136 -1.0705
Pr 0.2562 1.7547 5.7919
Au 6.7212 5.9832 3.5363
Sb 1.8345 6.5213 -1.7822
```

---

*2* ends up most stable, edging out the next structure by 15 meV per atom.

---

*1*
Density functional theory data (PBE-GGA) for PrScAu2 after structural relaxation. Values from VASP.

Computed properties:
As for the space group: No. 59.

Geometry as Quantum ESPRESSO input:
```
&SYSTEM
  ibrav = 0, nat = 8, ntyp = 3
/
ATOMIC_SPECIES
Sc 44.96 Sc.upf
Au 196.97 Au.upf
Pr 140.91 Pr.upf
CELL_PARAMETERS angstrom
-0.8635 3.4527 -3.2258
-5.0577 -2.0283 -0.8172
-2.5424 4.2380 5.2166
ATOMIC_POSITIONS angstrom
Sc -1.5149 -0.6075 -0.2448
Au -4.0501 4.3789 2.1947
Au -4.1369 -0.1843 0.9101
Sc -5.2457 2.4245 0.4230
Pr -4.5454 0.0766 -2.2775
Au -5.2530 1.6761 3.2001
Au -2.6237 2.0012 -0.7319
Pr -2.2152 1.7404 2.4558
```

---

*2*
Density functional theory data (PBE-GGA) for PrScAu2 after structural relaxation. Values from VASP.

Computed properties:
As for the space group: No. 123.

Geometry as Quantum ESPRESSO input:
```
&SYSTEM
  ibrav = 0, nat = 4, ntyp = 3
/
ATOMIC_SPECIES
Au 196.97 Au.upf
Sc 44.96 Sc.upf
Pr 140.91 Pr.upf
CELL_PARAMETERS angstrom
-0.5276 0.3540 -3.4463
1.2734 -3.2222 -0.5259
-6.7919 -2.8067 0.7514
ATOMIC_POSITIONS angstrom
Au -1.4211 -0.5873 0.1572
Sc 0.3729 -1.4341 -1.9861
Au -5.3708 -2.2194 0.5942
Pr -3.0231 -2.8375 -1.6104
```

---

*3*
Density functional theory data (PBE-GGA) for PrScAu2 after structural relaxation. Values from VASP.

Computed properties:
As for the space group: No. 166.

Geometry as Quantum ESPRESSO input:
```
&SYSTEM
  ibrav = 0, nat = 4, ntyp = 3
/
ATOMIC_SPECIES
Au 196.97 Au.upf
Sc 44.96 Sc.upf
Pr 140.91 Pr.upf
CELL_PARAMETERS angstrom
4.8034 0.0000 0.0000
2.4017 4.1598 0.0000
2.4017 1.3866 4.8045
ATOMIC_POSITIONS angstrom
Au 2.4017 1.3866 1.6910
Au 7.2050 4.1598 3.1135
Sc 4.8034 2.7732 2.4022
Pr 0.0000 0.0000 0.0000
```

---

*2* ends up most stable, edging out the next structure by 18 meV per atom.